BeCrFeNi | PBE | relaxed Values from VASP.

Cell and atoms, written as Quantum ESPRESSO input:
```
&SYSTEM
  ibrav = 0, nat = 4, ntyp = 4
/
ATOMIC_SPECIES
Be 9.01 Be.upf
Cr 52.00 Cr.upf
Fe 55.84 Fe.upf
Ni 58.69 Ni.upf
ATOMIC_POSITIONS crystal
Be 0.0000 0.0000 0.0000
Cr 0.5000 0.5000 0.5000
Fe 0.7500 0.7500 0.7500
Ni 0.2500 0.2500 0.2500
CELL_PARAMETERS angstrom
0.0000 2.7414 2.7414
2.7414 0.0000 2.7414
2.7414 2.7414 0.0000
```

## Properties
Magnetic moment: 1.894 μB/f.u.
Energy relative to the elements: -49 meV per atom
E_tot: -27.79 eV/cell
Space group: F-43m (216)